Entry 1
# NbReIr2

An optimized crystal structure of NbReIr2 (PBE, Alexandria via LeMat-Bulk).

Geometry as CIF:
```
data_NbReIr2
_cell_length_a 3.9437
_cell_length_b 3.9437
_cell_length_c 3.9382
_cell_angle_alpha 90.00
_cell_angle_beta 90.00
_cell_angle_gamma 90.00
_space_group_name_H-M_alt 'P 4/m m m'
_space_group_IT_number 123
_space_group_name_Hall '-P 4 2'
loop_
_atom_site_label
_atom_site_type_symbol
_atom_site_fract_x
_atom_site_fract_y
_atom_site_fract_z
_atom_site_occupancy
Nb1 Nb 0.0000 0.0000 0.0000 1
Re1 Re 0.5000 0.5000 0.0000 1
Ir1 Ir 0.0000 0.5000 0.5000 1
```

Values from the calculation:
volume	61.3	Å³ per cell
total moment	0.0	μB per formula unit


Entry 2
# NbReIr2

An optimized crystal structure of NbReIr2 (PBE, Alexandria via LeMat-Bulk).

Geometry as CIF:
```
data_NbReIr2
_cell_length_a 3.8882
_cell_length_b 3.8882
_cell_length_c 17.9709
_cell_angle_alpha 90.00
_cell_angle_beta 90.00
_cell_angle_gamma 90.00
_space_group_name_H-M_alt 'I -4 2 d'
_space_group_IT_number 122
_space_group_name_Hall 'I -4 2bw'
loop_
_atom_site_label
_atom_site_type_symbol
_atom_site_fract_x
_atom_site_fract_y
_atom_site_fract_z
_atom_site_occupancy
Nb1 Nb 0.0000 0.0000 0.0000 1
Re1 Re 0.0000 0.0000 0.5000 1
Ir1 Ir 0.2397 0.2500 0.6250 1
```

Values from the calculation:
volume	271.7	Å³ per cell
total moment	0.0	μB per formula unit


Q: Which of them is the most stable? A: entry 1.


Entry 1
# NbReIr3

An optimized crystal structure of NbReIr3 (PBE, Alexandria via LeMat-Bulk).

Geometry as CIF:
```
data_NbReIr3
_cell_length_a 4.6910
_cell_length_b 4.6910
_cell_length_c 4.6910
_cell_angle_alpha 90.00
_cell_angle_beta 90.00
_cell_angle_gamma 90.00
_space_group_name_H-M_alt 'P m -3 m'
_space_group_IT_number 221
_space_group_name_Hall '-P 4 2 3'
loop_
_atom_site_label
_atom_site_type_symbol
_atom_site_fract_x
_atom_site_fract_y
_atom_site_fract_z
_atom_site_occupancy
Nb1 Nb 0.0000 0.0000 0.0000 1
Re1 Re 0.5000 0.5000 0.5000 1
Ir1 Ir 0.0000 0.5000 0.5000 1
```

Values from the calculation:
volume	103.2	Å³ per cell
total moment	0.0	μB per formula unit


Entry 2
# NbReIr3

An optimized crystal structure of NbReIr3 (PBE, Alexandria via LeMat-Bulk).

Geometry as CIF:
```
data_NbReIr3
_cell_length_a 9.2041
_cell_length_b 2.7696
_cell_length_c 6.8549
_cell_angle_alpha 90.00
_cell_angle_beta 119.02
_cell_angle_gamma 90.00
_space_group_name_H-M_alt 'C 1 m 1'
_space_group_IT_number 8
_space_group_name_Hall 'C -2y'
loop_
_atom_site_label
_atom_site_type_symbol
_atom_site_fract_x
_atom_site_fract_y
_atom_site_fract_z
_atom_site_occupancy
Nb1 Nb 0.0000 0.0000 0.0000 1
Re1 Re 0.3892 0.0000 0.5750 1
Ir1 Ir 0.1054 0.5000 0.4102 1
Ir2 Ir 0.1955 0.0000 0.7894 1
Ir3 Ir 0.2977 0.5000 0.1933 1
```

Values from the calculation:
volume	152.8	Å³ per cell
total moment	0.0	μB per formula unit


Entry 3
# NbReIr3

An optimized crystal structure of NbReIr3 (PBE, Alexandria via LeMat-Bulk).

Geometry as CIF:
```
data_NbReIr3
_cell_length_a 6.4301
_cell_length_b 6.4301
_cell_length_c 4.8889
_cell_angle_alpha 90.00
_cell_angle_beta 90.00
_cell_angle_gamma 120.00
_space_group_name_H-M_alt 'P 63/m m c'
_space_group_IT_number 194
_space_group_name_Hall '-P 6c 2c'
loop_
_atom_site_label
_atom_site_type_symbol
_atom_site_fract_x
_atom_site_fract_y
_atom_site_fract_z
_atom_site_occupancy
Nb1 Nb 0.3333 0.6667 0.2500 1
Re1 Re 0.0000 0.0000 0.0000 1
Ir1 Ir 0.2026 0.4053 0.7500 1
```

Values from the calculation:
volume	175.1	Å³ per cell
total moment	0.0	μB per formula unit


Q: Which of them is the most stable? A: entry 2.


Entry 1
# NbIr2Rh

An optimized crystal structure of NbIr2Rh (PBE, Alexandria via LeMat-Bulk).

Geometry as CIF:
```
data_NbIr2Rh
_cell_length_a 3.8214
_cell_length_b 3.8214
_cell_length_c 18.2404
_cell_angle_alpha 90.00
_cell_angle_beta 90.00
_cell_angle_gamma 90.00
_space_group_name_H-M_alt 'I -4 2 d'
_space_group_IT_number 122
_space_group_name_Hall 'I -4 2bw'
loop_
_atom_site_label
_atom_site_type_symbol
_atom_site_fract_x
_atom_site_fract_y
_atom_site_fract_z
_atom_site_occupancy
Nb1 Nb 0.0000 0.0000 0.0000 1
Ir1 Ir 0.2281 0.2500 0.6250 1
Rh1 Rh 0.0000 0.0000 0.5000 1
```

Values from the calculation:
volume	266.4	Å³ per cell
total moment	0.0	μB per formula unit


Entry 2
# NbIr2Rh

An optimized crystal structure of NbIr2Rh (PBE, Alexandria via LeMat-Bulk).

Geometry as CIF:
```
data_NbIr2Rh
_cell_length_a 6.2946
_cell_length_b 6.2946
_cell_length_c 6.2946
_cell_angle_alpha 90.00
_cell_angle_beta 90.00
_cell_angle_gamma 90.00
_space_group_name_H-M_alt 'F m -3 m'
_space_group_IT_number 225
_space_group_name_Hall '-F 4 2 3'
loop_
_atom_site_label
_atom_site_type_symbol
_atom_site_fract_x
_atom_site_fract_y
_atom_site_fract_z
_atom_site_occupancy
Nb1 Nb 0.0000 0.0000 0.0000 1
Ir1 Ir 0.2500 0.2500 0.2500 1
Rh1 Rh 0.0000 0.0000 0.5000 1
```

Values from the calculation:
volume	249.4	Å³ per cell
total moment	0.0	μB per formula unit


Q: Which of them is the most stable? A: entry 2.


Entry 1
# NbIr3Rh

An optimized crystal structure of NbIr3Rh (PBE, Alexandria via LeMat-Bulk).

Geometry as CIF:
```
data_NbIr3Rh
_cell_length_a 5.2934
_cell_length_b 5.2934
_cell_length_c 12.6871
_cell_angle_alpha 90.00
_cell_angle_beta 90.00
_cell_angle_gamma 120.00
_space_group_name_H-M_alt 'R -3 m'
_space_group_IT_number 166
_space_group_name_Hall '-R 3 2"'
loop_
_atom_site_label
_atom_site_type_symbol
_atom_site_fract_x
_atom_site_fract_y
_atom_site_fract_z
_atom_site_occupancy
Nb1 Nb 0.0000 0.0000 0.0000 1
Ir1 Ir 0.0000 0.5000 0.0000 1
Rh1 Rh 0.0000 0.0000 0.5000 1
```

Values from the calculation:
volume	307.9	Å³ per cell
total moment	0.6	μB per formula unit


Entry 2
# NbIr3Rh

An optimized crystal structure of NbIr3Rh (PBE, Alexandria via LeMat-Bulk).

Geometry as CIF:
```
data_NbIr3Rh
_cell_length_a 4.6481
_cell_length_b 4.6481
_cell_length_c 4.6481
_cell_angle_alpha 90.00
_cell_angle_beta 90.00
_cell_angle_gamma 90.00
_space_group_name_H-M_alt 'P m -3 m'
_space_group_IT_number 221
_space_group_name_Hall '-P 4 2 3'
loop_
_atom_site_label
_atom_site_type_symbol
_atom_site_fract_x
_atom_site_fract_y
_atom_site_fract_z
_atom_site_occupancy
Nb1 Nb 0.0000 0.0000 0.0000 1
Ir1 Ir 0.0000 0.5000 0.5000 1
Rh1 Rh 0.5000 0.5000 0.5000 1
```

Values from the calculation:
volume	100.4	Å³ per cell
total moment	0.0	μB per formula unit


Q: Which of them is the most stable? A: entry 1.


Entry 1
# NbIr3Rh

An optimized crystal structure of NbIr3Rh (PBE, Alexandria via LeMat-Bulk).

Geometry as CIF:
```
data_NbIr3Rh
_cell_length_a 6.8356
_cell_length_b 6.4753
_cell_length_c 7.8326
_cell_angle_alpha 90.00
_cell_angle_beta 90.00
_cell_angle_gamma 90.00
_space_group_name_H-M_alt 'A m a 2'
_space_group_IT_number 40
_space_group_name_Hall 'A 2 -2a'
loop_
_atom_site_label
_atom_site_type_symbol
_atom_site_fract_x
_atom_site_fract_y
_atom_site_fract_z
_atom_site_occupancy
Nb1 Nb 0.0000 0.0000 0.0000 1
Ir1 Ir 0.0688 0.1839 0.7069 1
Ir2 Ir 0.2500 0.3588 0.0126 1
Rh1 Rh 0.2500 0.0653 0.2485 1
```

Values from the calculation:
volume	346.7	Å³ per cell
total moment	0.0	μB per formula unit


Entry 2
# NbIr3Rh

An optimized crystal structure of NbIr3Rh (PBE, Alexandria via LeMat-Bulk).

Geometry as CIF:
```
data_NbIr3Rh
_cell_length_a 4.7206
_cell_length_b 4.7206
_cell_length_c 4.7206
_cell_angle_alpha 90.00
_cell_angle_beta 90.00
_cell_angle_gamma 90.00
_space_group_name_H-M_alt 'P m -3 m'
_space_group_IT_number 221
_space_group_name_Hall '-P 4 2 3'
loop_
_atom_site_label
_atom_site_type_symbol
_atom_site_fract_x
_atom_site_fract_y
_atom_site_fract_z
_atom_site_occupancy
Nb1 Nb 0.0000 0.0000 0.0000 1
Ir1 Ir 0.0000 0.0000 0.5000 1
Rh1 Rh 0.5000 0.5000 0.5000 1
```

Values from the calculation:
volume	105.2	Å³ per cell
total moment	2.0	μB per formula unit


Q: Which of them is the most stable? A: entry 1.